LiAs2Pt: optimized geometry, PBE.

POSCAR file:
```
LiAs2Pt
1.0
2.793 -3.669 0.000
2.793 3.669 0.000
0.000 0.000 3.171
Li As Pt
1 2 1
Direct
0.000 0.000 0.000
0.000 0.500 0.500
0.500 0.000 0.500
0.500 0.500 0.000
```

Properties
Its formation energy is -1.124 eV/f.u. The calculation puts the total energy at -0.3377 Ry per atom.

FeCo3Re: optimized geometry, PBE.

POSCAR file:
```
FeCo3Re
1.0
4.399 0.000 0.000
0.000 4.399 0.000
0.000 0.000 4.399
Fe Co Re
1 3 1
Direct
0.000 0.000 0.000
0.000 0.500 0.500
0.500 0.000 0.500
0.500 0.500 0.000
0.500 0.500 0.500
```

Properties
Its polymorph energy (0 for the lowest one) is 1.528 eV per atom. Its formation energy is 8.209 eV/f.u. The calculation puts the total energy at -0.5001 Ry per atom.

Si2TeP: optimized geometry, PBE.

POSCAR file:
```
Si2TeP
1.0
0.000 3.324 3.324
3.324 0.000 3.324
3.324 3.324 0.000
Si Te P
2 1 1
Direct
0.250 0.250 0.250
0.750 0.750 0.750
0.000 0.000 0.000
0.500 0.500 0.500
```

Properties
Its polymorph energy (0 for the lowest one) is 0.511 eV per atom. The calculation puts the total energy at -0.3063 Ry per atom. The calculation puts the raw formation energy at 683 meV per atom.